VASP calculation (PBE) on an optimized crystal structure of CaPaRh.

POSCAR file:
```
CaPaRh
1.0
8.2339 -1.7048 0.0000
8.2339 1.7048 0.0000
-1.5161 0.0000 5.6085
Ca Pa Rh
2 2 2
Cartesian
0.5355 0.0000 1.6659
14.4161 0.0000 3.9425
3.9515 0.0000 1.6324
11.0001 0.0000 3.9761
0.9576 0.0000 4.8670
13.9940 0.0000 0.7415
```

- SG = C2/m
- total magnetic moment (μB per cell) = 0.00
- relative energy among the computed polymorphs (eV per atom) = 0.112
- raw total energy (eV per formula unit) = -19.36
- mass density (g/cm³) = 7.89
- calculated volume (A^3/atom) = 26.242

***

VASP calculation (PBE) on an optimized crystal structure of Ca5PaRh6.

POSCAR file:
```
Ca5PaRh6
1.0
4.9160 0.0000 0.0000
0.0000 6.9106 0.0000
-2.4148 0.0000 7.2520
Ca Pa Rh
5 1 6
Cartesian
0.0000 0.0000 0.0000
0.0294 3.4553 4.7222
0.0277 0.0000 4.8281
2.4736 0.0000 2.4239
2.4719 3.4553 2.5298
0.0000 3.4553 0.0000
0.0151 1.8884 2.1480
0.0151 5.0222 2.1480
2.4580 1.8987 0.0000
2.4580 5.0119 0.0000
2.4861 1.8884 5.1040
2.4861 5.0222 5.1040
```

- SG = P2/m
- total magnetic moment (μB per cell) = 0.00
- raw total energy (eV per formula unit) = -69.99
- mass density (g/cm³) = 7.07
- calculated volume (A^3/atom) = 20.531

***

VASP calculation (PBE) on an optimized crystal structure of CaPaRh.

POSCAR file:
```
CaPaRh
1.0
3.7425 0.0000 0.0000
-1.8712 3.2411 0.0000
0.0000 0.0000 6.7162
Ca Pa Rh
1 1 1
Cartesian
0.0000 0.0000 0.0000
1.8712 1.0804 3.6507
0.0000 2.1607 2.1281
```

- SG = P3m1
- total magnetic moment (μB per cell) = 0.00
- relative energy among the computed polymorphs (eV per atom) = 0.066
- raw total energy (eV per formula unit) = -19.49
- mass density (g/cm³) = 7.62
- calculated volume (A^3/atom) = 27.155

***

VASP calculation (PBE) on an optimized crystal structure of Ca3Pa2Rh4.

POSCAR file:
```
Ca3Pa2Rh4
1.0
6.5606 -1.9601 0.0000
6.5606 1.9601 0.0000
-3.0388 0.0000 8.4542
Ca Pa Rh
3 2 4
Cartesian
0.0000 0.0000 0.0000
4.4683 0.0000 2.4534
5.6141 0.0000 6.0008
1.9843 0.0000 5.7284
8.0982 0.0000 2.7258
0.0149 0.0000 3.7420
0.9638 0.0000 7.8222
9.1187 0.0000 0.6320
10.0675 0.0000 4.7122
```

- SG = C2/m
- total magnetic moment (μB per cell) = 0.00
- raw total energy (eV per formula unit) = -59.60
- mass density (g/cm³) = 7.59
- calculated volume (A^3/atom) = 24.160